# 1
Computed, not measured: an optimized crystal structure of Sm8Ge5Pb at the PBE level of DFT.

Computed properties:
Crystal system: tetragonal
Space-group type: No. 82
DFT formation energy (eV/atom): -0.78

```
14
Lattice="-4.583 4.583 4.563 4.583 -4.583 4.563 4.583 4.583 -4.563" Properties=species:S:1:pos:R:3 pbc="T T T"
Sm 6.305 0.590 -0.585
Sm 1.597 -0.623 2.847
Sm 0.590 2.861 0.585
Sm 2.986 5.206 -1.716
Sm 3.961 2.986 1.716
Sm 3.993 1.722 5.148
Sm 0.623 1.597 6.280
Sm -1.722 3.993 3.978
Ge 0.000 0.000 0.000
Ge 3.426 2.296 -1.130
Ge 2.288 -1.157 5.693
Ge 1.157 2.288 3.434
Ge 2.296 5.741 1.130
Pb 4.583 0.000 2.282
```

---

# 2
Computed, not measured: an optimized crystal structure of Th3Se4 at the PBE level of DFT.

Computed properties:
Crystal system: trigonal
Formation energy (no corrections) (eV per atom): -1.59
Energy relative to the lowest polymorph listed for this composition (kJ/mol of atoms): 0.0
Space-group type: No. 166

```
7
Lattice="2.108 1.217 13.835 -2.108 1.217 13.835 0.000 -2.434 13.835" Properties=species:S:1:pos:R:3 pbc="T T T"
Th 0.000 0.000 0.000
Th 0.000 0.000 10.360
Th 0.000 0.000 31.146
Se 0.000 0.000 5.085
Se 0.000 0.000 15.576
Se 0.000 0.000 25.930
Se 0.000 0.000 36.421
```

---

# 3
Computed, not measured: an optimized crystal structure of AlCo2W at the PBE level of DFT.

Computed properties:
Crystal system: tetragonal
Space-group type: No. 123
DFT formation energy (eV/atom): -0.30

```
4
Lattice="2.733 0.000 0.000 0.000 2.733 0.000 0.000 0.000 6.614" Properties=species:S:1:pos:R:3 pbc="T T T"
Al 0.000 0.000 0.000
Co 1.367 1.367 1.529
Co 1.367 1.367 5.086
W 0.000 0.000 3.307
```

---

# 4
Computed, not measured: an optimized crystal structure of MnWBr2 at the PBE level of DFT.

Computed properties:
Crystal system: tetragonal
Formation energy (no corrections) (eV per atom): 1.09
Energy relative to the lowest polymorph listed for this composition (kJ/mol of atoms): 90.0
Space-group type: No. 123

```
4
Lattice="4.711 0.000 0.000 0.000 4.711 0.000 0.000 0.000 3.208" Properties=species:S:1:pos:R:3 pbc="T T T"
Mn 0.000 0.000 0.000
W 2.356 2.356 0.000
Br 0.000 2.356 1.604
Br 2.356 0.000 1.604
```